# 1
A plane-wave DFT calculation with PBE was carried out for a relaxed structure of CsIn3Br9.

Cell: 11.162 11.084 13.141 Å, 84.48 64.87 59.77°
Atoms (fractional coordinates):
Br 0.748 0.488 0.892
Cs 0.072 0.451 0.942
Br 0.176 0.690 0.760
Br 0.151 0.099 0.716
In 0.429 0.744 0.223
Br 0.374 0.190 0.260
Br 0.022 0.527 0.564
In 0.760 0.550 0.700
Br 0.292 0.848 0.086
Br 0.887 0.027 0.064
Br 0.985 0.278 0.204
In 0.006 0.963 0.816
Br 0.255 0.871 0.422
Br 0.667 0.764 0.142
Br 0.499 0.485 0.209
In 0.990 0.050 0.200
Br 0.426 0.264 0.642
In 0.215 0.463 0.316
In 0.604 0.244 0.723
Br 0.452 0.371 0.922
Br 0.774 0.348 0.586
Cs 0.535 0.951 0.442
Br 0.034 0.599 0.216
Br 0.806 0.985 0.709
Br 0.872 0.988 0.392
Br 0.532 0.778 0.704

Properties
As for the uncorrected formation energy: -892 meV/atom.

***

# 2
A plane-wave DFT calculation with PBE was carried out for a relaxed structure of Cs2InBr4.

Cell: 8.325 7.852 10.498 Å, 90.00 109.18 90.00°
Atoms (fractional coordinates):
Br 0.908 0.250 0.087
Br 0.493 0.493 0.256
Br 0.507 0.993 0.744
Br 0.092 0.750 0.913
Br 0.911 0.250 0.613
Cs 0.229 0.250 0.436
Br 0.493 0.007 0.256
Cs 0.771 0.750 0.564
Cs 0.273 0.250 0.939
In 0.258 0.750 0.194
Br 0.089 0.750 0.387
Br 0.507 0.507 0.744
In 0.742 0.250 0.806
Cs 0.727 0.750 0.061

Properties
As for the uncorrected formation energy: -1293 meV/atom.

***

# 3
A plane-wave DFT calculation with PBE was carried out for a relaxed structure of CsInBr3.

Cell: 20.031 9.458 9.458 Å, 151.25 148.01 31.99°
Atoms (fractional coordinates):
Br 0.311 0.945 0.055
Br 0.667 0.390 0.610
Br 0.996 0.352 0.648
Br 0.689 0.055 0.945
In 0.163 0.651 0.349
Cs 0.379 0.224 0.776
Cs 0.621 0.776 0.224
Br 0.004 0.648 0.352
Br 0.333 0.610 0.390
In 0.837 0.349 0.651

Properties
As for the uncorrected formation energy: -1105 meV/atom.

***

# 4
A plane-wave DFT calculation with PBE was carried out for a relaxed structure of Cs3In2Br7.

Cell: 5.652 5.849 14.824 Å, 101.38 90.00 90.00°
Atoms (fractional coordinates):
Cs 0.500 0.500 0.000
Br 0.000 0.598 0.197
Cs 0.500 0.684 0.368
In 0.000 0.102 0.203
Br 0.000 0.200 0.400
Br 0.000 0.000 0.000
Br 0.500 0.099 0.198
Br 0.000 0.402 0.803
In 0.000 0.898 0.797
Cs 0.500 0.316 0.632
Br 0.500 0.901 0.802
Br 0.000 0.800 0.600

Properties
As for the uncorrected formation energy: -1280 meV/atom.